Tc2TeOs: relaxed, GGA-PBE.

```
Tc2TeOs
1.0
-2.8678 2.8678 5.7923
2.8678 -2.8678 5.7923
2.8678 2.8678 -5.7923
Tc Te Os
4 2 2
direct
0.0908 0.6250 0.9658
0.3750 0.3408 0.4658
0.6592 0.1250 0.0342
0.8750 0.9092 0.5342
0.2500 0.7500 0.5000
0.5000 0.5000 0.0000
0.0000 0.0000 0.0000
0.7500 0.2500 0.5000
```

Formation energy from raw total energies: 0.86 eV per atom
Excess energy over the best structure of this formula in the dataset: 440 meV per atom